AcLaF6 | PBE | optimized geometry Values from VASP.

```
&SYSTEM
  ibrav = 0, nat = 16, ntyp = 3
/
ATOMIC_SPECIES
Ac 227.00 Ac.upf
La 138.91 La.upf
F 19.00 F.upf
CELL_PARAMETERS angstrom
5.756 0.000 0.000
0.000 5.756 0.000
0.000 0.000 8.475
ATOMIC_POSITIONS crystal
Ac 0.000 0.000 0.000
Ac 0.000 0.000 0.500
La 0.500 0.500 0.250
La 0.500 0.500 0.750
F 0.196 0.246 0.185
F 0.196 0.246 0.815
F 0.246 0.804 0.315
F 0.246 0.804 0.685
F 0.308 0.335 0.500
F 0.335 0.692 0.000
F 0.665 0.308 0.000
F 0.692 0.665 0.500
F 0.754 0.196 0.315
F 0.754 0.196 0.685
F 0.804 0.754 0.185
F 0.804 0.754 0.815
```

Summary:
Uncorrected energy (eV per atom): -6.66
Size of the total moment (μB per atom): 0.00
Crystal system: tetragonal